Computed, not measured: a relaxed structure of HfCuTcB at the PBE level of DFT.

a b c (Å): 4.2948 4.2948 4.2948
angles (deg): 60.00 60.00 60.00
Atoms (fractional coordinates):
Hf 0.0000 0.0000 0.0000
Cu 0.5000 0.5000 0.5000
Tc 0.7500 0.7500 0.7500
B 0.2500 0.2500 0.2500

Calculated values
* SG: No. 216
* M_tot: 0.00 μB per formula unit
* E above lowest polymorph: 156 meV/atom

Computed, not measured: a relaxed structure of HfCuTcB at the PBE level of DFT.

a b c (Å): 4.2491 4.2491 4.2491
angles (deg): 60.00 60.00 60.00
Atoms (fractional coordinates):
Hf 0.0000 0.0000 0.0000
Cu 0.7500 0.7500 0.7500
Tc 0.2500 0.2500 0.2500
B 0.5000 0.5000 0.5000

Calculated values
* SG: No. 216
* M_tot: 0.00 μB per formula unit
* E above lowest polymorph: 0 meV/atom

Computed, not measured: a relaxed structure of Cu2HgB at the PBE level of DFT.

a b c (Å): 4.2178 4.2178 4.2178
angles (deg): 60.00 60.00 60.00
Atoms (fractional coordinates):
Cu 0.0000 0.0000 0.0000
Cu 0.2500 0.2500 0.2500
Hg 0.7500 0.7500 0.7500
B 0.5000 0.5000 0.5000

Calculated values
* SG: No. 216
* calculated total energy: -2.7656 eV per atom

Computed, not measured: a relaxed structure of CuHgB4 at the PBE level of DFT.

a b c (Å): 4.9348 4.9348 4.9348
angles (deg): 144.12 115.45 76.12
Atoms (fractional coordinates):
Cu 0.0000 0.0000 0.0000
Hg 0.5000 0.5000 0.0000
B 0.0727 0.7383 0.3344
B 0.4039 0.7383 0.6656
B 0.5961 0.2617 0.3344
B 0.9273 0.2617 0.6656

Calculated values
* SG: No. 71
* E above lowest polymorph: 148 meV/atom

Computed, not measured: a relaxed structure of CuHgB4 at the PBE level of DFT.

a b c (Å): 2.9748 2.9748 9.1038
angles (deg): 90.00 90.00 120.00
Atoms (fractional coordinates):
Cu 0.0000 0.0000 0.0000
Hg 0.0000 0.0000 0.5000
B 0.3333 0.6667 0.1745
B 0.3333 0.6667 0.8255
B 0.6667 0.3333 0.1745
B 0.6667 0.3333 0.8255

Calculated values
* SG: No. 191
* E above lowest polymorph: 0 meV/atom

Computed, not measured: a relaxed structure of LuCuHgB at the PBE level of DFT.

a b c (Å): 4.5658 4.5658 4.5658
angles (deg): 60.00 60.00 60.00
Atoms (fractional coordinates):
Lu 0.0000 0.0000 0.0000
Cu 0.7500 0.7500 0.7500
Hg 0.2500 0.2500 0.2500
B 0.5000 0.5000 0.5000

Calculated values
* SG: No. 216
* M_tot: 0.00 μB per formula unit
* E above lowest polymorph: 195 meV/atom

Computed, not measured: a relaxed structure of LuCuHgB at the PBE level of DFT.

a b c (Å): 4.5458 4.5458 4.5458
angles (deg): 60.00 60.00 60.00
Atoms (fractional coordinates):
Lu 0.0000 0.0000 0.0000
Cu 0.5000 0.5000 0.5000
Hg 0.7500 0.7500 0.7500
B 0.2500 0.2500 0.2500

Calculated values
* SG: No. 216
* M_tot: 0.00 μB per formula unit
* E above lowest polymorph: 0 meV/atom

Computed, not measured: a relaxed structure of NbCuHgB at the PBE level of DFT.

a b c (Å): 4.4498 4.4498 4.4498
angles (deg): 60.00 60.00 60.00
Atoms (fractional coordinates):
Nb 0.0000 0.0000 0.0000
Cu 0.7500 0.7500 0.7500
Hg 0.2500 0.2500 0.2500
B 0.5000 0.5000 0.5000

Calculated values
* SG: No. 216
* M_tot: 0.84 μB per formula unit
* E above lowest polymorph: 352 meV/atom

Computed, not measured: a relaxed structure of NbCuHgB at the PBE level of DFT.

a b c (Å): 4.3871 4.3871 4.3871
angles (deg): 60.00 60.00 60.00
Atoms (fractional coordinates):
Nb 0.0000 0.0000 0.0000
Cu 0.5000 0.5000 0.5000
Hg 0.7500 0.7500 0.7500
B 0.2500 0.2500 0.2500

Calculated values
* SG: No. 216
* M_tot: 0.01 μB per formula unit
* E above lowest polymorph: 0 meV/atom

Computed, not measured: a relaxed structure of CuHgBPd at the PBE level of DFT.

a b c (Å): 4.3347 4.3347 4.3347
angles (deg): 60.00 60.00 60.00
Atoms (fractional coordinates):
Cu 0.0000 0.0000 0.0000
Hg 0.2500 0.2500 0.2500
B 0.7500 0.7500 0.7500
Pd 0.5000 0.5000 0.5000

Calculated values
* SG: No. 216
* E above lowest polymorph: 0 meV/atom

Computed, not measured: a relaxed structure of CuReHgB at the PBE level of DFT.

a b c (Å): 4.4033 4.4033 4.4033
angles (deg): 60.00 60.00 60.00
Atoms (fractional coordinates):
Cu 0.0000 0.0000 0.0000
Re 0.2500 0.2500 0.2500
Hg 0.5000 0.5000 0.5000
B 0.7500 0.7500 0.7500

Calculated values
* SG: No. 216
* M_tot: 2.36 μB per formula unit
* E above lowest polymorph: 453 meV/atom

Computed, not measured: a relaxed structure of CuReHgB at the PBE level of DFT.

a b c (Å): 4.2865 4.2865 4.2865
angles (deg): 60.00 60.00 60.00
Atoms (fractional coordinates):
Cu 0.0000 0.0000 0.0000
Re 0.5000 0.5000 0.5000
Hg 0.2500 0.2500 0.2500
B 0.7500 0.7500 0.7500

Calculated values
* SG: No. 216
* M_tot: 0.22 μB per formula unit
* E above lowest polymorph: 0 meV/atom

Computed, not measured: a relaxed structure of ZnCuHgB at the PBE level of DFT.

a b c (Å): 4.3285 4.3285 4.3285
angles (deg): 60.00 60.00 60.00
Atoms (fractional coordinates):
Zn 0.0000 0.0000 0.0000
Cu 0.7500 0.7500 0.7500
Hg 0.2500 0.2500 0.2500
B 0.5000 0.5000 0.5000

Calculated values
* SG: No. 216
* E above lowest polymorph: 3 meV/atom

Computed, not measured: a relaxed structure of ZnCuHgB at the PBE level of DFT.

a b c (Å): 4.3586 4.3586 4.3586
angles (deg): 60.00 60.00 60.00
Atoms (fractional coordinates):
Zn 0.0000 0.0000 0.0000
Cu 0.5000 0.5000 0.5000
Hg 0.7500 0.7500 0.7500
B 0.2500 0.2500 0.2500

Calculated values
* SG: No. 216
* E above lowest polymorph: 0 meV/atom

Computed, not measured: a relaxed structure of ZrCuHgB at the PBE level of DFT.

a b c (Å): 4.5138 4.5138 4.5138
angles (deg): 60.00 60.00 60.00
Atoms (fractional coordinates):
Zr 0.0000 0.0000 0.0000
Cu 0.7500 0.7500 0.7500
Hg 0.2500 0.2500 0.2500
B 0.5000 0.5000 0.5000

Calculated values
* SG: No. 216
* M_tot: 0.00 μB per formula unit
* E above lowest polymorph: 280 meV/atom

Computed, not measured: a relaxed structure of ZrCuHgB at the PBE level of DFT.

a b c (Å): 4.4744 4.4744 4.4744
angles (deg): 60.00 60.00 60.00
Atoms (fractional coordinates):
Zr 0.0000 0.0000 0.0000
Cu 0.5000 0.5000 0.5000
Hg 0.7500 0.7500 0.7500
B 0.2500 0.2500 0.2500

Calculated values
* SG: No. 216
* M_tot: 0.00 μB per formula unit
* E above lowest polymorph: 0 meV/atom

Computed, not measured: a relaxed structure of HoCuB at the PBE level of DFT.

a b c (Å): 6.3559 3.6018 7.7541
angles (deg): 90.00 90.00 90.00
Atoms (fractional coordinates):
Ho 0.0218 0.2500 0.1855
Ho 0.4782 0.7500 0.6855
Ho 0.5218 0.2500 0.3145
Ho 0.9782 0.7500 0.8145
Cu 0.1317 0.2500 0.5440
Cu 0.3683 0.7500 0.0440
Cu 0.6317 0.2500 0.9560
Cu 0.8683 0.7500 0.4560
B 0.2106 0.7500 0.4048
B 0.2894 0.2500 0.9048
B 0.7106 0.7500 0.0952
B 0.7894 0.2500 0.5952

Calculated values
* SG: No. 62
* M_tot: 0.00 μB per formula unit
* E above lowest polymorph: 0 meV/atom

Computed, not measured: a relaxed structure of HoCuB at the PBE level of DFT.

a b c (Å): 4.1337 4.1337 4.1337
angles (deg): 60.00 60.00 60.00
Atoms (fractional coordinates):
Ho 0.0000 0.0000 0.0000
Cu 0.5000 0.5000 0.5000
B 0.7500 0.7500 0.7500

Calculated values
* SG: No. 216
* M_tot: 0.17 μB per formula unit
* E above lowest polymorph: 219 meV/atom

Computed, not measured: a relaxed structure of HoCuB at the PBE level of DFT.

a b c (Å): 6.7654 3.8988 6.7267
angles (deg): 90.00 90.00 90.00
Atoms (fractional coordinates):
Ho 0.0079 0.2500 0.2160
Ho 0.4921 0.7500 0.7160
Ho 0.5079 0.2500 0.2840
Ho 0.9921 0.7500 0.7840
Cu 0.2028 0.2500 0.5811
Cu 0.2972 0.7500 0.0811
Cu 0.7028 0.2500 0.9189
Cu 0.7972 0.7500 0.4189
B 0.2076 0.7500 0.4177
B 0.2924 0.2500 0.9177
B 0.7076 0.7500 0.0823
B 0.7924 0.2500 0.5823

Calculated values
* SG: No. 62
* M_tot: 0.03 μB per formula unit
* E above lowest polymorph: 22 meV/atom

Computed, not measured: a relaxed structure of Tb2HoCu2B2N3 at the PBE level of DFT.

a b c (Å): 10.4831 10.4831 10.4831
angles (deg): 160.81 160.81 27.26
Atoms (fractional coordinates):
Tb 0.1209 0.1209 0.0000
Tb 0.8791 0.8791 0.0000
Ho 0.5000 0.5000 0.0000
Cu 0.2500 0.7500 0.5000
Cu 0.7500 0.2500 0.5000
B 0.3158 0.3158 0.0000
B 0.6842 0.6842 0.0000
N 0.0000 0.0000 0.0000
N 0.3865 0.3865 0.0000
N 0.6135 0.6135 0.0000

Calculated values
* SG: No. 139
* M_tot: 0.01 μB per formula unit
* calculated total energy: -7.0225 eV per atom

Computed, not measured: a relaxed structure of HoTmCu2B2N2 at the PBE level of DFT.

a b c (Å): 3.4662 3.4662 7.6698
angles (deg): 90.00 90.00 90.00
Atoms (fractional coordinates):
Ho 0.0000 0.0000 0.0000
Tm 0.5000 0.5000 0.3281
Cu 0.0000 0.5000 0.6642
Cu 0.5000 0.0000 0.6642
B 0.0000 0.0000 0.4895
B 0.5000 0.5000 0.8405
N 0.0000 0.0000 0.3011
N 0.5000 0.5000 0.0294

Calculated values
* SG: No. 99
* M_tot: 0.00 μB per formula unit
* calculated total energy: -6.7202 eV per atom

Computed, not measured: a relaxed structure of Y2HoCu2B2N3 at the PBE level of DFT.

a b c (Å): 10.4802 10.4802 10.4802
angles (deg): 160.85 160.85 27.21
Atoms (fractional coordinates):
Y 0.1206 0.1206 0.0000
Y 0.8794 0.8794 0.0000
Ho 0.5000 0.5000 0.0000
Cu 0.2500 0.7500 0.5000
Cu 0.7500 0.2500 0.5000
B 0.3159 0.3159 0.0000
B 0.6841 0.6841 0.0000
N 0.0000 0.0000 0.0000
N 0.3866 0.3866 0.0000
N 0.6134 0.6134 0.0000

Calculated values
* SG: No. 139
* M_tot: 0.01 μB per formula unit
* calculated total energy: -7.3882 eV per atom

Computed, not measured: a relaxed structure of YHoCu2B2N2 at the PBE level of DFT.

a b c (Å): 3.4940 3.4940 7.7015
angles (deg): 90.00 90.00 90.00
Atoms (fractional coordinates):
Y 0.0000 0.0000 0.0000
Ho 0.5000 0.5000 0.6702
Cu 0.0000 0.5000 0.3353
Cu 0.5000 0.0000 0.3353
B 0.0000 0.0000 0.5090
B 0.5000 0.5000 0.1602
N 0.0000 0.0000 0.6964
N 0.5000 0.5000 0.9726

Calculated values
* SG: No. 99
* M_tot: 0.00 μB per formula unit
* calculated total energy: -6.9526 eV per atom

Computed, not measured: a relaxed structure of YHo2Cu2B2N3 at the PBE level of DFT.

a b c (Å): 10.4918 10.4918 10.4918
angles (deg): 160.94 160.94 27.08
Atoms (fractional coordinates):
Y 0.0000 0.0000 0.0000
Ho 0.3792 0.3792 0.0000
Ho 0.6208 0.6208 0.0000
Cu 0.2500 0.7500 0.5000
Cu 0.7500 0.2500 0.5000
B 0.1843 0.1843 0.0000
B 0.8157 0.8157 0.0000
N 0.1138 0.1138 0.0000
N 0.5000 0.5000 0.0000
N 0.8862 0.8862 0.0000

Calculated values
* SG: No. 139
* M_tot: 0.00 μB per formula unit
* calculated total energy: -7.2007 eV per atom

Computed, not measured: a relaxed structure of InCuB2 at the PBE level of DFT.

a b c (Å): 4.1890 4.1890 4.1890
angles (deg): 60.00 60.00 60.00
Atoms (fractional coordinates):
In 0.0000 0.0000 0.0000
Cu 0.2500 0.2500 0.2500
B 0.5000 0.5000 0.5000
B 0.7500 0.7500 0.7500

Calculated values
* SG: No. 216
* calculated total energy: -3.4152 eV per atom

Computed, not measured: a relaxed structure of InCuB at the PBE level of DFT.

a b c (Å): 3.9224 3.9224 3.9224
angles (deg): 60.00 60.00 60.00
Atoms (fractional coordinates):
In 0.0000 0.0000 0.0000
Cu 0.5000 0.5000 0.5000
B 0.7500 0.7500 0.7500

Calculated values
* SG: No. 216
* E above lowest polymorph: 0 meV/atom

Computed, not measured: a relaxed structure of InCu2BS4 at the PBE level of DFT.

a b c (Å): 6.3564 6.3564 6.3564
angles (deg): 131.09 131.09 71.67
Atoms (fractional coordinates):
In 0.0000 0.0000 0.0000
Cu 0.5000 0.5000 0.0000
Cu 0.7500 0.2500 0.5000
B 0.2500 0.7500 0.5000
S 0.1548 0.6224 0.0655
S 0.3776 0.4431 0.5324
S 0.5569 0.0893 0.9345
S 0.9107 0.8452 0.4676

Calculated values
* SG: No. 82
* calculated total energy: -4.5626 eV per atom

Computed, not measured: a relaxed structure of CuB4Ir at the PBE level of DFT.

a b c (Å): 4.4697 4.4697 4.4697
angles (deg): 140.19 108.71 84.89
Atoms (fractional coordinates):
Cu 0.0000 0.0000 0.0000
B 0.0801 0.7397 0.3404
B 0.3993 0.7397 0.6596
B 0.6007 0.2603 0.3404
B 0.9199 0.2603 0.6596
Ir 0.5000 0.5000 0.0000

Calculated values
* SG: No. 71
* M_tot: 0.00 μB per formula unit
* E above lowest polymorph: 0 meV/atom